Run A
Here is an optimized crystal structure of YSbP from the Alexandria database. Energies are from GGA-PBE.

Unit cell a=6.964 b=6.964 c=6.964 alpha=90.00 beta=90.00 gamma=90.00
Space group F-43m (No. 216)
Inequivalent atoms, fractional coordinates:
Y 0.000 0.000 0.000 x4
Sb 0.250 0.250 0.250 x4
P 0.250 0.250 0.750 x4



Run B
Here is an optimized crystal structure of YSbP from the Alexandria database. Energies are from GGA-PBE.

Unit cell a=3.846 b=3.846 c=10.553 alpha=90.00 beta=90.00 gamma=90.00
Space group I4mm (No. 107)
Inequivalent atoms, fractional coordinates:
Y 0.000 0.000 0.000 x2
Sb 0.000 0.000 0.314 x2
P 0.000 0.000 0.559 x2



Which is most stable? The ranking, best first, is run B, run A.



Run A
Here is an optimized crystal structure of Y2SbP2 from the Alexandria database. Energies are from GGA-PBE.

Unit cell a=5.406 b=5.406 c=8.138 alpha=90.00 beta=90.00 gamma=90.00
Space group I4/mmm (No. 139)
Inequivalent atoms, fractional coordinates:
Y 0.000 0.500 0.250 x4
Sb 0.000 0.000 0.000 x2
P 0.000 0.000 0.354 x4



Run B
Here is an optimized crystal structure of Y2SbP2 from the Alexandria database. Energies are from GGA-PBE.

Unit cell a=3.826 b=3.826 c=15.581 alpha=90.00 beta=90.00 gamma=90.00
Space group I4/mmm (No. 139)
Inequivalent atoms, fractional coordinates:
Y 0.000 0.000 0.115 x4
Sb 0.000 0.000 0.500 x2
P 0.000 0.500 0.250 x4



Which is most stable? The ranking, best first, is run A, run B.



Run A
Here is an optimized crystal structure of Zn2SbP from the Alexandria database. Energies are from GGA-PBE.

Unit cell a=6.725 b=6.725 c=6.725 alpha=90.00 beta=90.00 gamma=90.00
Space group F-43m (No. 216)
Inequivalent atoms, fractional coordinates:
Zn 0.000 0.000 0.000 x4
Zn 0.250 0.250 0.250 x4
Sb 0.250 0.250 0.750 x4
P 0.000 0.000 0.500 x4



Run B
Here is an optimized crystal structure of Zn2SbP from the Alexandria database. Energies are from GGA-PBE.

Unit cell a=3.8361 b=3.8361 c=18.8210 alpha=90.00 beta=90.00 gamma=120.00
Space group R3m (No. 160, hexagonal axes)
Inequivalent atoms, fractional coordinates:
Zn 0.0000 0.0000 0.0000 x3
Zn 0.0000 0.0000 0.2544 x3
Sb 0.0000 0.0000 0.7656 x3
P 0.0000 0.0000 0.5217 x3



Which is most stable? The ranking, best first, is run B, run A.



Run A
Here is an optimized crystal structure of Zn2SbP from the Alexandria database. Energies are from GGA-PBE.

Unit cell a=5.961 b=5.961 c=10.817 alpha=90.00 beta=90.00 gamma=90.00
Space group I-42d (No. 122)
Inequivalent atoms, fractional coordinates:
Zn 0.196 0.250 0.125 x8
Sb 0.000 0.000 0.500 x4
P 0.000 0.000 0.000 x4



Run B
Here is an optimized crystal structure of Zn2SbP from the Alexandria database. Energies are from GGA-PBE.

Unit cell a=5.650 b=7.270 c=3.711 alpha=90.00 beta=90.00 gamma=90.00
Space group Cmmm (No. 65)
Inequivalent atoms, fractional coordinates:
Zn 0.250 0.250 0.000 x4
Sb 0.000 0.000 0.500 x2
P 0.000 0.500 0.500 x2



Run C
Here is an optimized crystal structure of Zn2SbP from the Alexandria database. Energies are from GGA-PBE.

Unit cell a=3.875 b=3.875 c=10.218 alpha=90.00 beta=90.00 gamma=90.00
Space group I-4m2 (No. 119)
Inequivalent atoms, fractional coordinates:
Zn 0.000 0.000 0.000 x2
Zn 0.000 0.500 0.250 x2
Sb 0.000 0.000 0.500 x2
P 0.000 0.500 0.750 x2



Run D
Here is an optimized crystal structure of Zn2SbP from the Alexandria database. Energies are from GGA-PBE.

Unit cell a=3.543 b=3.681 c=11.961 alpha=90.00 beta=90.00 gamma=90.00
Space group Imm2 (No. 44)
Inequivalent atoms, fractional coordinates:
Zn 0.000 0.000 0.000 x2
Zn 0.000 0.500 0.181 x2
Sb 0.000 0.500 0.810 x2
P 0.000 0.000 0.530 x2



Which is most stable? The ranking, best first, is run A, run D, run C, run B.



Run A
Here is an optimized crystal structure of Zn2SbP from the Alexandria database. Energies are from GGA-PBE.

Unit cell a=3.7131 b=3.7131 c=19.6052 alpha=90.00 beta=90.00 gamma=120.00
Space group R-3m (No. 166, hexagonal axes)
Inequivalent atoms, fractional coordinates:
Zn 0.0000 0.0000 0.2309 x6
Sb 0.0000 0.0000 0.0000 x3
P 0.0000 0.0000 0.5000 x3



Run B
Here is an optimized crystal structure of Zn2SbP from the Alexandria database. Energies are from GGA-PBE.

Unit cell a=4.056 b=4.056 c=4.683 alpha=90.00 beta=90.00 gamma=90.00
Space group P4/mmm (No. 123)
Inequivalent atoms, fractional coordinates:
Zn 0.000 0.500 0.000 x2
Sb 0.000 0.000 0.500 x1
P 0.500 0.500 0.500 x1



Run C
Here is an optimized crystal structure of Zn2SbP from the Alexandria database. Energies are from GGA-PBE.

Unit cell a=3.673 b=5.307 c=7.988 alpha=90.00 beta=90.00 gamma=90.00
Space group Immm (No. 71)
Inequivalent atoms, fractional coordinates:
Zn 0.000 0.000 0.216 x4
Sb 0.000 0.500 0.000 x2
P 0.000 0.500 0.500 x2



Run D
Here is an optimized crystal structure of Zn2SbP from the Alexandria database. Energies are from GGA-PBE.

Unit cell a=4.059 b=3.639 c=5.739 alpha=90.00 beta=109.43 gamma=90.00
Space group Pm (No. 6)
Inequivalent atoms, fractional coordinates:
Zn 0.000 0.000 0.000 x1
Zn 0.435 0.500 0.645 x1
Sb 0.824 0.000 0.446 x1
P 0.422 0.500 0.058 x1



Which is most stable? The ranking, best first, is run A, run D, run C, run B.



Run A
Here is an optimized crystal structure of Zn2SbP from the Alexandria database. Energies are from GGA-PBE.

Unit cell a=3.545 b=3.545 c=5.987 alpha=90.00 beta=90.00 gamma=90.00
Space group P4/mmm (No. 123)
Inequivalent atoms, fractional coordinates:
Zn 0.000 0.000 0.210 x2
Sb 0.500 0.500 0.500 x1
P 0.500 0.500 0.000 x1



Run B
Here is an optimized crystal structure of Zn2SbP from the Alexandria database. Energies are from GGA-PBE.

Unit cell a=5.646 b=7.351 c=4.278 alpha=90.00 beta=116.05 gamma=90.00
Space group C2/m (No. 12)
Inequivalent atoms, fractional coordinates:
Zn 0.250 0.250 0.000 x4
Sb 0.000 0.000 0.500 x2
P 0.000 0.500 0.500 x2



Run C
Here is an optimized crystal structure of Zn2SbP from the Alexandria database. Energies are from GGA-PBE.

Unit cell a=4.397 b=4.397 c=7.850 alpha=90.00 beta=90.00 gamma=90.00
Space group I4/mmm (No. 139)
Inequivalent atoms, fractional coordinates:
Zn 0.000 0.500 0.250 x4
Sb 0.000 0.000 0.000 x2
P 0.000 0.000 0.500 x2



Which is most stable? The ranking, best first, is run B, run A, run C.



Run A
Here is an optimized crystal structure of Zn2SbP from the Alexandria database. Energies are from GGA-PBE.

Unit cell a=7.872 b=3.725 c=5.879 alpha=90.00 beta=111.33 gamma=90.00
Space group Cm (No. 8)
Inequivalent atoms, fractional coordinates:
Zn 0.000 0.000 0.000 x2
Zn 0.204 0.000 0.757 x2
Sb 0.424 0.000 0.511 x2
P 0.249 0.500 0.140 x2



Run B
Here is an optimized crystal structure of Zn2SbP from the Alexandria database. Energies are from GGA-PBE.

Unit cell a=3.067 b=3.867 c=7.210 alpha=90.00 beta=90.00 gamma=90.00
Space group Pmm2 (No. 25)
Inequivalent atoms, fractional coordinates:
Zn 0.000 0.000 0.000 x1
Zn 0.500 0.500 0.422 x1
Sb 0.500 0.500 0.801 x1
P 0.000 0.000 0.323 x1



Run C
Here is an optimized crystal structure of Zn2SbP from the Alexandria database. Energies are from GGA-PBE.

Unit cell a=6.714 b=6.714 c=6.714 alpha=90.00 beta=90.00 gamma=90.00
Space group Fm-3m (No. 225)
Inequivalent atoms, fractional coordinates:
Zn 0.250 0.250 0.250 x8
Sb 0.000 0.000 0.000 x4
P 0.000 0.000 0.500 x4



Which is most stable? The ranking, best first, is run B, run A, run C.



Run A
Here is an optimized crystal structure of Zn3SbP from the Alexandria database. Energies are from GGA-PBE.

Unit cell a=4.720 b=4.720 c=4.720 alpha=90.00 beta=90.00 gamma=90.00
Space group Pm-3m (No. 221)
Inequivalent atoms, fractional coordinates:
Zn 0.000 0.000 0.500 x3
Sb 0.500 0.500 0.500 x1
P 0.000 0.000 0.000 x1



Run B
Here is an optimized crystal structure of Zn3SbP from the Alexandria database. Energies are from GGA-PBE.

Unit cell a=5.147 b=5.147 c=5.147 alpha=90.00 beta=90.00 gamma=90.00
Space group Pm-3m (No. 221)
Inequivalent atoms, fractional coordinates:
Zn 0.000 0.000 0.500 x3
Sb 0.000 0.000 0.000 x1
P 0.500 0.500 0.500 x1



Which is most stable? The ranking, best first, is run A, run B.



Run A
Here is an optimized crystal structure of Zn2SbP2 from the Alexandria database. Energies are from GGA-PBE.

Unit cell a=4.131 b=4.131 c=10.869 alpha=90.00 beta=90.00 gamma=90.00
Space group I4/mmm (No. 139)
Inequivalent atoms, fractional coordinates:
Zn 0.000 0.000 0.115 x4
Sb 0.000 0.000 0.500 x2
P 0.000 0.500 0.250 x4



Run B
Here is an optimized crystal structure of Zn2SbP2 from the Alexandria database. Energies are from GGA-PBE.

Unit cell a=3.805 b=3.805 c=12.926 alpha=90.00 beta=90.00 gamma=90.00
Space group I4/mmm (No. 139)
Inequivalent atoms, fractional coordinates:
Zn 0.000 0.500 0.250 x4
Sb 0.000 0.000 0.000 x2
P 0.000 0.000 0.376 x4



Which is most stable? The ranking, best first, is run B, run A.



Run A
Here is an optimized crystal structure of Zr4SbP from the Alexandria database. Energies are from GGA-PBE.

Unit cell a=7.912 b=12.352 c=5.499 alpha=90.00 beta=111.10 gamma=90.00
Space group C2/c (No. 15)
Inequivalent atoms, fractional coordinates:
Zr 0.101 0.181 0.064 x8
Zr 0.213 0.416 0.356 x8
Sb 0.000 0.380 0.750 x4
P 0.000 0.006 0.750 x4



Run B
Here is an optimized crystal structure of Zr4SbP from the Alexandria database. Energies are from GGA-PBE.

Unit cell a=8.103 b=8.103 c=8.103 alpha=90.00 beta=90.00 gamma=90.00
Space group F-43m (No. 216)
Inequivalent atoms, fractional coordinates:
Zr 0.125 0.125 0.125 x16
Sb 0.000 0.000 0.500 x4
P 0.250 0.250 0.750 x4



Which is most stable? The ranking, best first, is run A, run B.



Run A
Here is an optimized crystal structure of Sc3P2 from the Alexandria database. Energies are from GGA-PBE.

Unit cell a=10.157 b=3.721 c=10.054 alpha=90.00 beta=90.00 gamma=90.00
Space group Pnma (No. 62)
Inequivalent atoms, fractional coordinates:
Sc 0.047 0.250 0.132 x4
Sc 0.125 0.750 0.563 x4
Sc 0.223 0.250 0.801 x4
P 0.011 0.750 0.319 x4
P 0.186 0.750 0.997 x4



Run B
Here is an optimized crystal structure of Sc3P2 from the Alexandria database. Energies are from GGA-PBE.

Unit cell a=6.924 b=3.780 c=14.417 alpha=90.00 beta=90.00 gamma=90.00
Space group Pnma (No. 62)
Inequivalent atoms, fractional coordinates:
Sc 0.008 0.250 0.104 x4
Sc 0.135 0.750 0.432 x4
Sc 0.162 0.250 0.722 x4
P 0.130 0.250 0.295 x4
P 0.241 0.750 0.042 x4



Which is most stable? The ranking, best first, is run B, run A.